Record 1
## CsRbTePdSe (SCAN)

Data for a crystal of CsRbTePdSe relaxed with PBEsol.

Calculated volume   329 Å³/cell
Total DFT energy (no corrections)   -30.7070 eV per atom

abc: 13.1746 3.9302 7.8432
angles: 90.00 125.96 90.00
Fractional coordinates of all 10 atoms:
Cs 0.0000 0.0000 0.0000
Cs 0.5000 0.5000 0.0000
Rb 0.1135 0.5000 0.6129
Rb 0.6135 0.0000 0.6129
Te 0.3099 0.0000 0.5012
Te 0.8099 0.5000 0.5012
Pd 0.3075 0.5000 0.2790
Pd 0.8075 0.0000 0.2790
Se 0.3055 0.0000 0.0774
Se 0.8055 0.5000 0.0774

---

Record 2
## CsPd2S (SCAN)

Data for a crystal of CsPd2S relaxed with PBEsol.

Calculated volume   426 Å³/cell
Total DFT energy (no corrections)   -28.8472 eV per atom

abc: 5.4029 5.4029 14.5996
angles: 90.00 90.00 90.00
Fractional coordinates of all 16 atoms:
Cs 0.0000 0.2500 0.3750
Cs 0.0000 0.7500 0.6250
Cs 0.5000 0.2500 0.1250
Cs 0.5000 0.7500 0.8750
Pd 0.0000 0.0000 0.0000
Pd 0.0000 0.5000 0.0000
Pd 0.2500 0.2500 0.7500
Pd 0.2500 0.7500 0.2500
Pd 0.5000 0.0000 0.5000
Pd 0.5000 0.5000 0.5000
Pd 0.7500 0.2500 0.7500
Pd 0.7500 0.7500 0.2500
S 0.0000 0.2500 0.8750
S 0.0000 0.7500 0.1250
S 0.5000 0.2500 0.6250
S 0.5000 0.7500 0.3750

---

Record 3
## Cs2UPd3S6 (SCAN)

Data for a crystal of Cs2UPd3S6 relaxed with PBEsol.

Calculated volume   606 Å³/cell
Total DFT energy (no corrections)   -29.0128 eV per atom

abc: 11.2659 9.5882 8.9964
angles: 74.55 55.12 50.33
Fractional coordinates of all 24 atoms:
Cs 0.1973 0.8027 0.1973
Cs 0.2500 0.2500 0.2500
Cs 0.7500 0.7500 0.7500
Cs 0.8027 0.1973 0.8027
U 0.3329 0.3329 0.6671
U 0.6671 0.6671 0.3329
Pd 0.0032 0.6761 0.9968
Pd 0.3239 0.9968 0.6761
Pd 0.3268 0.6732 0.6732
Pd 0.6732 0.3268 0.3268
Pd 0.6761 0.0032 0.3239
Pd 0.9968 0.3239 0.0032
S 0.1006 0.3092 0.6908
S 0.1055 0.6904 0.6827
S 0.3092 0.1006 0.8994
S 0.3096 0.8945 0.4786
S 0.3173 0.4786 0.8945
S 0.4786 0.3173 0.3096
S 0.5214 0.6827 0.6904
S 0.6827 0.5214 0.1055
S 0.6904 0.1055 0.5214
S 0.6908 0.8994 0.1006
S 0.8945 0.3096 0.3173
S 0.8994 0.6908 0.3092

---

Record 4
## CsSb2Pd (SCAN)

Data for a crystal of CsSb2Pd relaxed with PBEsol.

Calculated volume   416 Å³/cell
Total DFT energy (no corrections)   -35.8735 eV per atom

abc: 7.4633 7.4633 7.4633
angles: 90.00 90.00 90.00
Fractional coordinates of all 16 atoms:
Cs 0.0000 0.0000 0.0000
Cs 0.0000 0.5000 0.5000
Cs 0.5000 0.0000 0.5000
Cs 0.5000 0.5000 0.0000
Sb 0.2500 0.2500 0.2500
Sb 0.2500 0.2500 0.7500
Sb 0.2500 0.7500 0.2500
Sb 0.2500 0.7500 0.7500
Sb 0.7500 0.2500 0.2500
Sb 0.7500 0.2500 0.7500
Sb 0.7500 0.7500 0.2500
Sb 0.7500 0.7500 0.7500
Pd 0.0000 0.0000 0.5000
Pd 0.0000 0.5000 0.0000
Pd 0.5000 0.0000 0.0000
Pd 0.5000 0.5000 0.5000

---

Record 5
## Cs3SbPd (SCAN)

Data for a crystal of Cs3SbPd relaxed with PBEsol.

Calculated volume   222 Å³/cell
Total DFT energy (no corrections)   -36.6100 eV per atom

abc: 6.0578 6.0578 6.0578
angles: 90.00 90.00 90.00
Fractional coordinates of all 5 atoms:
Cs 0.0000 0.0000 0.5000
Cs 0.0000 0.5000 0.0000
Cs 0.5000 0.0000 0.0000
Sb 0.5000 0.5000 0.5000
Pd 0.0000 0.0000 0.0000

---

Record 6
## Cs2PdSe8 (SCAN)

Data for a crystal of Cs2PdSe8 relaxed with PBEsol.

Calculated volume   1418 Å³/cell
Total DFT energy (no corrections)   -25.0519 eV per atom

abc: 12.3128 12.3128 12.3128
angles: 105.79 105.79 117.11
Fractional coordinates of all 44 atoms:
Cs 0.0115 0.2615 0.5231
Cs 0.2385 0.4885 0.9769
Cs 0.2615 0.2385 0.2500
Cs 0.4885 0.0115 0.2500
Cs 0.5115 0.9885 0.7500
Cs 0.7385 0.7615 0.7500
Cs 0.7615 0.5115 0.0231
Cs 0.9885 0.7385 0.4769
Pd 0.1250 0.8750 0.2500
Pd 0.3750 0.6250 0.7500
Pd 0.6250 0.3750 0.2500
Pd 0.8750 0.1250 0.7500
Se 0.0243 0.1485 0.9433
Se 0.0620 0.6605 0.9090
Se 0.0811 0.0243 0.3758
Se 0.1485 0.7053 0.1242
Se 0.1530 0.0620 0.9015
Se 0.1605 0.5620 0.4090
Se 0.2053 0.6485 0.6242
Se 0.2485 0.8395 0.9015
Se 0.2515 0.1530 0.5910
Se 0.2947 0.9189 0.4433
Se 0.3395 0.7485 0.4015
Se 0.3470 0.2485 0.9090
Se 0.3515 0.4757 0.5567
Se 0.4189 0.7947 0.9433
Se 0.4380 0.3470 0.5985
Se 0.4757 0.4189 0.1242
Se 0.5243 0.5811 0.8758
Se 0.5620 0.6530 0.4015
Se 0.5811 0.2053 0.0567
Se 0.6485 0.5243 0.4433
Se 0.6530 0.7515 0.0910
Se 0.6605 0.2515 0.5985
Se 0.7053 0.0811 0.5567
Se 0.7485 0.8470 0.4090
Se 0.7515 0.1605 0.0985
Se 0.7947 0.3515 0.3758
Se 0.8395 0.4380 0.5910
Se 0.8470 0.9380 0.0985
Se 0.8515 0.2947 0.8758
Se 0.9189 0.9757 0.6242
Se 0.9380 0.3395 0.0910
Se 0.9757 0.8515 0.0567

---

Record 7
## CsSiPd2 (SCAN)

Data for a crystal of CsSiPd2 relaxed with PBEsol.

Calculated volume   414 Å³/cell
Total DFT energy (no corrections)   -28.4019 eV per atom

abc: 7.4650 7.4650 7.4351
angles: 90.00 90.00 90.00
Fractional coordinates of all 16 atoms:
Cs 0.0000 0.0000 0.0000
Cs 0.0000 0.5000 0.2500
Cs 0.5000 0.0000 0.7500
Cs 0.5000 0.5000 0.5000
Si 0.0000 0.0000 0.5000
Si 0.0000 0.5000 0.7500
Si 0.5000 0.0000 0.2500
Si 0.5000 0.5000 0.0000
Pd 0.1273 0.2500 0.6250
Pd 0.2500 0.6273 0.8750
Pd 0.2500 0.8727 0.3750
Pd 0.3727 0.2500 0.1250
Pd 0.6273 0.7500 0.1250
Pd 0.7500 0.1273 0.3750
Pd 0.7500 0.3727 0.8750
Pd 0.8727 0.7500 0.6250

---

Record 8
## CsSi2Pd (SCAN)

Data for a crystal of CsSi2Pd relaxed with PBEsol.

Calculated volume   328 Å³/cell
Total DFT energy (no corrections)   -21.6032 eV per atom

abc: 6.8984 6.8984 6.8984
angles: 90.00 90.00 90.00
Fractional coordinates of all 16 atoms:
Cs 0.0000 0.0000 0.0000
Cs 0.0000 0.5000 0.5000
Cs 0.5000 0.0000 0.5000
Cs 0.5000 0.5000 0.0000
Si 0.2500 0.2500 0.2500
Si 0.2500 0.2500 0.7500
Si 0.2500 0.7500 0.2500
Si 0.2500 0.7500 0.7500
Si 0.7500 0.2500 0.2500
Si 0.7500 0.2500 0.7500
Si 0.7500 0.7500 0.2500
Si 0.7500 0.7500 0.7500
Pd 0.0000 0.0000 0.5000
Pd 0.0000 0.5000 0.0000
Pd 0.5000 0.0000 0.0000
Pd 0.5000 0.5000 0.5000

---

Record 9
## CsY2SnPd (SCAN)

Data for a crystal of CsY2SnPd relaxed with PBEsol.

ΔE_f   107.2 kJ per mole of atoms
Calculated volume   151 Å³/cell

abc: 5.5139 5.5139 4.9598
angles: 90.00 90.00 90.00
Fractional coordinates of all 5 atoms:
Cs 0.0000 0.0000 0.0000
Y 0.0000 0.5000 0.0000
Y 0.5000 0.0000 0.0000
Sn 0.5000 0.5000 0.5000
Pd 0.0000 0.0000 0.5000

---

Record 10
## CsTaPd3 (SCAN)

Data for a crystal of CsTaPd3 relaxed with PBEsol.

ΔE_f   64.1 kJ per mole of atoms
Calculated volume   123 Å³/cell

abc: 4.9775 4.9775 4.9775
angles: 90.00 90.00 90.00
Fractional coordinates of all 5 atoms:
Cs 0.0000 0.0000 0.0000
Ta 0.5000 0.5000 0.5000
Pd 0.0000 0.5000 0.5000
Pd 0.5000 0.0000 0.5000
Pd 0.5000 0.5000 0.0000

---

Record 11
## CsTe3Pd (SCAN)

Data for a crystal of CsTe3Pd relaxed with PBEsol.

Calculated volume   156 Å³/cell
Total DFT energy (no corrections)   -36.7910 eV per atom

abc: 5.3877 5.3877 5.3877
angles: 90.00 90.00 90.00
Fractional coordinates of all 5 atoms:
Cs 0.0000 0.0000 0.0000
Te 0.0000 0.5000 0.5000
Te 0.5000 0.0000 0.5000
Te 0.5000 0.5000 0.0000
Pd 0.5000 0.5000 0.5000

---

Record 12
## CsTi3Pd (SCAN)

Data for a crystal of CsTi3Pd relaxed with PBEsol.

ΔE_f   201.9 kJ per mole of atoms
Calculated volume   113 Å³/cell

abc: 4.8285 4.8285 4.8285
angles: 90.00 90.00 90.00
Fractional coordinates of all 5 atoms:
Cs 0.0000 0.0000 0.0000
Ti 0.0000 0.0000 0.5000
Ti 0.0000 0.5000 0.0000
Ti 0.5000 0.0000 0.0000
Pd 0.5000 0.5000 0.5000

---

Record 13
## CsTi2Pd (SCAN)

Data for a crystal of CsTi2Pd relaxed with PBEsol.

ΔE_f   90.0 kJ per mole of atoms
Calculated volume   297 Å³/cell

abc: 6.6694 6.6694 6.6694
angles: 90.00 90.00 90.00
Fractional coordinates of all 16 atoms:
Cs 0.0000 0.0000 0.0000
Cs 0.0000 0.5000 0.5000
Cs 0.5000 0.0000 0.5000
Cs 0.5000 0.5000 0.0000
Ti 0.2500 0.2500 0.2500
Ti 0.2500 0.2500 0.7500
Ti 0.2500 0.7500 0.2500
Ti 0.2500 0.7500 0.7500
Ti 0.7500 0.2500 0.2500
Ti 0.7500 0.2500 0.7500
Ti 0.7500 0.7500 0.2500
Ti 0.7500 0.7500 0.7500
Pd 0.0000 0.0000 0.5000
Pd 0.0000 0.5000 0.0000
Pd 0.5000 0.0000 0.0000
Pd 0.5000 0.5000 0.5000

---

Record 14
## CsTl2Pd2 (SCAN)

Data for a crystal of CsTl2Pd2 relaxed with PBEsol.

ΔE_f   -9.1 kJ per mole of atoms
Calculated volume   262 Å³/cell

abc: 4.8483 4.8483 11.1550
angles: 90.00 90.00 90.00
Fractional coordinates of all 10 atoms:
Cs 0.0000 0.0000 0.0000
Cs 0.5000 0.5000 0.5000
Tl 0.0000 0.5000 0.2500
Tl 0.0000 0.5000 0.7500
Tl 0.5000 0.0000 0.2500
Tl 0.5000 0.0000 0.7500
Pd 0.0000 0.0000 0.3797
Pd 0.0000 0.0000 0.6203
Pd 0.5000 0.5000 0.1203
Pd 0.5000 0.5000 0.8797

---

Record 15
## CsPd3W (SCAN)

Data for a crystal of CsPd3W relaxed with PBEsol.

ΔE_f   244.7 kJ per mole of atoms
Calculated volume   127 Å³/cell

abc: 5.0288 5.0288 5.0288
angles: 90.00 90.00 90.00
Fractional coordinates of all 5 atoms:
Cs 0.0000 0.0000 0.0000
Pd 0.0000 0.0000 0.5000
Pd 0.0000 0.5000 0.0000
Pd 0.5000 0.0000 0.0000
W 0.5000 0.5000 0.5000

---

Record 16
## Cs3ZnPd (SCAN)

Data for a crystal of Cs3ZnPd relaxed with PBEsol.

ΔE_f   25.7 kJ per mole of atoms
Calculated volume   268 Å³/cell

abc: 6.4500 6.4500 6.4500
angles: 90.00 90.00 90.00
Fractional coordinates of all 5 atoms:
Cs 0.0000 0.0000 0.5000
Cs 0.0000 0.5000 0.0000
Cs 0.5000 0.0000 0.0000
Zn 0.5000 0.5000 0.5000
Pd 0.0000 0.0000 0.0000

---

Record 17
## CsPr3 (SCAN)

Data for a crystal of CsPr3 relaxed with PBEsol.

ΔE_f   54.6 kJ per mole of atoms
Calculated volume   296 Å³/cell

abc: 5.2951 5.2951 10.5613
angles: 90.00 90.00 90.00
Fractional coordinates of all 8 atoms:
Cs 0.0000 0.0000 0.0000
Cs 0.5000 0.5000 0.5000
Pr 0.0000 0.0000 0.5000
Pr 0.0000 0.5000 0.2500
Pr 0.0000 0.5000 0.7500
Pr 0.5000 0.0000 0.2500
Pr 0.5000 0.0000 0.7500
Pr 0.5000 0.5000 0.0000

---

Record 18
## CsPrZnTe3 (SCAN)

Data for a crystal of CsPrZnTe3 relaxed with PBEsol.

Calculated volume   442 Å³/cell
Total DFT energy (no corrections)   -35.6408 eV per atom

abc: 8.6659 8.6659 11.8675
angles: 90.00 90.00 150.29
Fractional coordinates of all 12 atoms:
Cs 0.2450 0.7550 0.7500
Cs 0.7550 0.2450 0.2500
Pr 0.5000 0.5000 0.0000
Pr 0.5000 0.5000 0.5000
Zn 0.0366 0.9634 0.2500
Zn 0.9634 0.0366 0.7500
Te 0.1254 0.8746 0.0660
Te 0.1254 0.8746 0.4340
Te 0.4384 0.5616 0.2500
Te 0.5616 0.4384 0.7500
Te 0.8746 0.1254 0.5660
Te 0.8746 0.1254 0.9340

---

Record 19
## Cs2Pt (SCAN)

Data for a crystal of Cs2Pt relaxed with PBEsol.

ΔE_f   -9.0 kJ per mole of atoms
Calculated volume   211 Å³/cell

abc: 5.6514 5.6514 7.6218
angles: 90.00 90.00 120.00
Fractional coordinates of all 6 atoms:
Cs 0.0000 0.0000 0.0000
Cs 0.0000 0.0000 0.5000
Cs 0.3333 0.6667 0.2500
Cs 0.6667 0.3333 0.7500
Pt 0.3333 0.6667 0.7500
Pt 0.6667 0.3333 0.2500

---

Record 20
## CsRb3Pt (SCAN)

Data for a crystal of CsRb3Pt relaxed with PBEsol.

ΔE_f   105.1 kJ per mole of atoms
Calculated volume   380 Å³/cell

abc: 7.2413 7.2413 7.2413
angles: 90.00 90.00 90.00
Fractional coordinates of all 5 atoms:
Cs 0.0000 0.0000 0.0000
Rb 0.0000 0.0000 0.5000
Rb 0.0000 0.5000 0.0000
Rb 0.5000 0.0000 0.0000
Pt 0.5000 0.5000 0.5000